No. 1
3
Lattice="-0.4537 2.5400 1.3391 -0.4283 -1.4004 2.5112 5.3210 0.3647 1.1108" Properties=species:S:1:pos:R:3 comment="Ir2S | the Alexandria database | PBE | optimized geometry" spacegroup="P-4m2, No. 115" dos_ef_per_ev_cell=2.6 density_kg_m3=15022 pbc="T T T"
Ir 3.4142 -0.4515 2.0131
Ir 1.4659 1.3861 1.0229
S -0.4410 0.5698 1.9252

No. 2
9
Lattice="3.7405 0.0000 0.0000 -1.8703 3.2394 0.0000 0.0000 0.0000 13.6882" Properties=species:S:1:pos:R:3 comment="Ir2S | the Alexandria database | PBE | optimized geometry" spacegroup="R3m, No. 160" dos_ef_per_ev_cell=4.7 density_kg_m3=12510 pbc="T T T"
Ir 1.8703 1.0798 7.9239
Ir 0.0000 2.1596 6.6293
Ir 0.0000 0.0000 3.3612
Ir 0.0000 0.0000 11.1920
Ir 1.8703 1.0798 2.0665
Ir 0.0000 2.1596 12.4866
S 1.8703 1.0798 13.5524
S 0.0000 2.1596 4.4270
S 0.0000 0.0000 8.9897

Number 1: total moment 0.0 μB/f.u., uncorrected formation energy 0.1364 eV/atom, E -7.147 eV per atom. Number 2: total moment 0.0 μB/f.u., uncorrected formation energy 0.2941 eV/atom, E -6.989 eV per atom.